# GGA+U TiMo2O2, optimized geometry
# Mass density   7.1 g cm⁻³
# E_tot   -72.34 eV for the cell shown
# Crystal system   tetragonal
data_TiMo2O2
_chemical_formula_sum 'Ti2 Mo4 O4'
_cell_length_a 5.5343
_cell_length_b 5.5343
_cell_length_c 4.1293
_cell_angle_alpha 90.00
_cell_angle_beta 90.00
_cell_angle_gamma 90.00
_symmetry_space_group_name_H-M 'P 4/m b m'
_symmetry_Int_Tables_number 127
_symmetry_space_group_name_Hall '-P 4 2ab'
loop_
_atom_site_label
_atom_site_type_symbol
_atom_site_fract_x
_atom_site_fract_y
_atom_site_fract_z
Ti1 Ti 0.0000 0.0000 0.0000
Mo1 Mo 0.1733 0.3267 0.5000
O1 O 0.1795 0.3205 0.0000